DFT (PBE-GGA) results for an optimized crystal structure of Sc2TeC.

Lattice parameters (Å, degrees): 6.5985 6.5985 7.7210 90.00 90.00 90.00
Space group I-42d (No. 122)
Asymmetric unit:
Sc 0.1518 0.2500 0.1250 (multiplicity 8)
Te 0.0000 0.0000 0.5000 (multiplicity 4)
C 0.0000 0.0000 0.0000 (multiplicity 4)

Summary:
- DOS at the Fermi energy (states/eV per cell) = 0.00
- ΔE_f (raw) (eV per atom) = -0.646